1.
DFT (PBE+U) results for a relaxed structure of MnB2F8.

Calculated values
**N(E_F)**: 0.000 states/eV/cell
**Spin magnetization**: 0.45 μB/atom
**Energy above the lowest structure with this stoichiometry**: 0.000 eV/f.u.
**E**: -6.07 eV per atom

Lattice parameters (Å, degrees): 8.714 5.547 11.087 90.00 90.00 90.00
Space group Pnma (No. 62)
Symmetry-distinct sites (fractional):
Mn (0.247, 0.250, 0.102)
B (0.005, 0.750, 0.155)
B (0.147, 0.250, 0.407)
F (0.005, 0.750, 0.640)
F (0.067, 0.250, 0.960)
F (0.098, 0.250, 0.752)
F (0.103, 0.542, 0.162)
F (0.167, 0.041, 0.479)
F (0.245, 0.750, 0.812)

2.
DFT (PBE+U) results for a relaxed structure of MnBF5.

Calculated values
**N(E_F)**: 0.000 states/eV/cell
**Spin magnetization**: 0.71 μB/atom
**Energy above the lowest structure with this stoichiometry**: 0.000 eV/f.u.
**E**: -6.15 eV per atom

Lattice parameters (Å, degrees): 7.802 7.579 7.675 90.00 119.56 90.00
Space group C2/c (No. 15)
Symmetry-distinct sites (fractional):
Mn (0.000, 0.000, 0.000)
B (0.000, 0.388, 0.250)
F (0.000, 0.078, 0.750)
F (0.002, 0.281, 0.402)
F (0.170, 0.496, 0.334)

3.
DFT (PBE+U) results for a relaxed structure of Mn2BF8.

Calculated values
**Spin magnetization**: 0.82 μB/atom
**E**: -5.94 eV per atom

Lattice parameters (Å, degrees): 4.231 5.590 7.490 75.02 75.04 68.08
Space group P1 (No. 1)
Symmetry-distinct sites (fractional):
Mn (0.000, 0.000, 0.000)
Mn (0.226, 0.395, 0.175)
B (0.882, 0.183, 0.581)
F (0.006, 0.778, 0.237)
F (0.195, 0.145, 0.440)
F (0.208, 0.685, 0.915)
F (0.451, 0.072, 0.027)
F (0.638, 0.414, 0.520)
F (0.784, 0.965, 0.636)
F (0.790, 0.312, 0.119)
F (0.989, 0.220, 0.749)

4.
DFT (PBE+U) results for a relaxed structure of MnB2F8.

Calculated values
**N(E_F)**: 0.000 states/eV/cell
**Spin magnetization**: 0.45 μB/atom
**Energy above the lowest structure with this stoichiometry**: 0.459 eV/f.u.
**E**: -6.02 eV per atom

Lattice parameters (Å, degrees): 9.712 6.028 4.984 90.00 103.42 90.00
Space group C2/m (No. 12)
Symmetry-distinct sites (fractional):
Mn (0.000, 0.000, 0.000)
B (0.198, 0.000, 0.672)
F (0.132, 0.187, 0.771)
F (0.158, 0.000, 0.374)
F (0.158, 0.500, 0.239)

5.
DFT (PBE+U) results for a relaxed structure of MnB2F2.

Calculated values
**N(E_F)**: 2.991 states/eV/cell
**Spin magnetization**: 0.93 μB/atom
**Energy above the lowest structure with this stoichiometry**: 4.106 eV/f.u.
**E**: -4.67 eV per atom

Lattice parameters (Å, degrees): 5.325 5.325 4.414 90.00 90.00 90.00
Space group P4/mbm (No. 127)
Symmetry-distinct sites (fractional):
Mn (0.000, 0.000, 0.000)
B (0.227, 0.273, 0.500)
F (0.164, 0.336, 0.000)

6.
DFT (PBE+U) results for a relaxed structure of MnBNF2.

Calculated values
**N(E_F)**: 1.442 states/eV/cell
**Spin magnetization**: 0.60 μB/atom
**Energy above the lowest structure with this stoichiometry**: 5.570 eV/f.u.
**E**: -5.12 eV per atom

Lattice parameters (Å, degrees): 4.047 4.047 3.889 90.00 90.00 90.00
Space group P4/mmm (No. 123)
Symmetry-distinct sites (fractional):
Mn (0.000, 0.000, 0.000)
B (0.500, 0.500, 0.500)
N (0.000, 0.000, 0.500)
F (0.000, 0.500, 0.000)

7.
DFT (PBE+U) results for a relaxed structure of MnBN2F.

Calculated values
**N(E_F)**: 0.334 states/eV/cell
**Spin magnetization**: 1.00 μB/atom
**Energy above the lowest structure with this stoichiometry**: 0.000 eV/f.u.
**E**: -6.51 eV per atom

Lattice parameters (Å, degrees): 3.159 3.159 4.568 90.00 90.00 90.00
Space group P4/mmm (No. 123)
Symmetry-distinct sites (fractional):
Mn (0.000, 0.000, 0.000)
B (0.500, 0.500, 0.500)
N (0.000, 0.500, 0.500)
F (0.500, 0.500, 0.000)

8.
DFT (PBE+U) results for a relaxed structure of MnBNF2.

Calculated values
**N(E_F)**: 1.732 states/eV/cell
**Spin magnetization**: 0.98 μB/atom
**Energy above the lowest structure with this stoichiometry**: 0.000 eV/f.u.
**E**: -6.24 eV per atom

Lattice parameters (Å, degrees): 4.242 4.242 2.763 90.00 90.00 90.00
Space group P4/mmm (No. 123)
Symmetry-distinct sites (fractional):
Mn (0.000, 0.000, 0.000)
B (0.500, 0.500, 0.500)
N (0.500, 0.500, 0.000)
F (0.000, 0.500, 0.500)

9.
DFT (PBE+U) results for a relaxed structure of MnBN2F.

Calculated values
**N(E_F)**: 0.824 states/eV/cell
**Spin magnetization**: 0.20 μB/atom
**Energy above the lowest structure with this stoichiometry**: 6.159 eV/f.u.
**E**: -5.28 eV per atom

Lattice parameters (Å, degrees): 3.845 3.845 4.023 90.00 90.00 90.00
Space group P4/mmm (No. 123)
Symmetry-distinct sites (fractional):
Mn (0.000, 0.000, 0.000)
B (0.500, 0.500, 0.500)
N (0.000, 0.500, 0.000)
F (0.000, 0.000, 0.500)

10.
DFT (PBE+U) results for a relaxed structure of NaMnB2F.

Calculated values
**N(E_F)**: 2.484 states/eV/cell
**Spin magnetization**: 0.86 μB/atom
**E**: -3.69 eV per atom

Lattice parameters (Å, degrees): 4.401 4.401 4.053 90.00 90.00 90.00
Space group P4/mmm (No. 123)
Symmetry-distinct sites (fractional):
Na (0.000, 0.000, 0.000)
Mn (0.500, 0.500, 0.000)
B (0.000, 0.500, 0.500)
F (0.500, 0.500, 0.500)

11.
DFT (PBE+U) results for a relaxed structure of NaMn2BF.

Calculated values
**N(E_F)**: 0.878 states/eV/cell
**Spin magnetization**: 1.81 μB/atom
**E**: -4.78 eV per atom

Lattice parameters (Å, degrees): 4.437 4.437 4.042 90.00 90.00 90.00
Space group P4/mmm (No. 123)
Symmetry-distinct sites (fractional):
Na (0.000, 0.000, 0.000)
Mn (0.000, 0.500, 0.500)
B (0.500, 0.500, 0.000)
F (0.000, 0.000, 0.500)

12.
DFT (PBE+U) results for a relaxed structure of NaMnB2F8.

Calculated values
**N(E_F)**: 0.024 states/eV/cell
**Spin magnetization**: 0.50 μB/atom
**E**: -5.69 eV per atom

Lattice parameters (Å, degrees): 5.2940 5.2940 7.4672 90.00 90.00 120.00
Space group P-3m1 (No. 164)
Symmetry-distinct sites (fractional):
Na (0.0000, 0.0000, 0.0000)
Mn (0.0000, 0.0000, 0.5000)
B (0.3333, 0.6667, 0.1767)
F (0.1867, 0.3734, 0.2411)
F (0.3333, 0.6667, 0.9899)